Record 1
Computed, not measured: crystalline BiPRhO2 at its relaxed geometry at the GGA-PBE level of DFT.

Unit cell a=4.053 b=4.053 c=5.713 alpha=90.00 beta=90.00 gamma=90.00
Fractional positions:
Bi 0.000 0.000 0.000
P 0.000 0.000 0.500
Rh 0.500 0.500 0.500
O 0.000 0.500 0.000
O 0.500 0.000 0.000

## Properties
ΔE to the lowest computed polymorph in meV/atom: 589
E in eV/atom: -4.85


Record 2
Computed, not measured: crystalline TePtI2N at its relaxed geometry at the GGA-PBE level of DFT.

Unit cell a=5.882 b=5.882 c=3.723 alpha=90.00 beta=90.00 gamma=90.00
Fractional positions:
Te 0.000 0.000 0.000
Pt 0.500 0.500 0.500
I 0.000 0.500 0.500
I 0.500 0.000 0.500
N 0.500 0.500 0.000

## Properties
ΔE to the lowest computed polymorph in meV/atom: 0
E in eV/atom: -3.52


Record 3
Computed, not measured: crystalline MnCuSi2 at its relaxed geometry at the GGA-PBE level of DFT.

Unit cell a=7.864 b=7.864 c=7.864 alpha=19.80 beta=19.80 gamma=19.80
Fractional positions:
Mn 0.000 0.000 0.000
Cu 0.500 0.500 0.500
Si 0.254 0.254 0.254
Si 0.746 0.746 0.746

## Properties
E in eV/atom: -6.10


Record 4
Computed, not measured: crystalline NaSrNbSbO6 at its relaxed geometry at the GGA-PBE level of DFT.

Unit cell a=5.823 b=5.823 c=5.823 alpha=60.00 beta=60.00 gamma=60.00
Fractional positions:
Na 0.000 0.000 0.000
Sr 0.500 0.500 0.500
Nb 0.250 0.250 0.250
Sb 0.750 0.750 0.750
O 0.006 0.006 0.494
O 0.006 0.494 0.006
O 0.006 0.494 0.494
O 0.494 0.006 0.006
O 0.494 0.006 0.494
O 0.494 0.494 0.006

## Properties
E in eV/atom: -6.83


Record 5
Computed, not measured: crystalline MgAg2Cl at its relaxed geometry at the GGA-PBE level of DFT.

Unit cell a=8.684 b=8.684 c=8.684 alpha=21.86 beta=21.86 gamma=21.86
Fractional positions:
Mg 0.000 0.000 0.000
Ag 0.249 0.249 0.249
Ag 0.751 0.751 0.751
Cl 0.500 0.500 0.500

## Properties
ΔE to the lowest computed polymorph in meV/atom: 201
E in eV/atom: -2.49


Record 6
Computed, not measured: crystalline SrZnSnIr at its relaxed geometry at the GGA-PBE level of DFT.

Unit cell a=6.234 b=6.234 c=6.234 alpha=42.11 beta=42.11 gamma=42.11
Fractional positions:
Sr 0.000 0.000 0.000
Zn 0.545 0.545 0.545
Sn 0.804 0.804 0.804
Ir 0.193 0.193 0.193

## Properties
Formation energy from the elements in eV/atom: -0.4072
E in eV/atom: -4.36


Record 7
Computed, not measured: crystalline Er2ZnPd3 at its relaxed geometry at the GGA-PBE level of DFT.

Unit cell a=6.164 b=6.164 c=6.164 alpha=137.44 beta=128.04 gamma=69.34
Fractional positions:
Er 0.189 0.189 0.000
Er 0.811 0.811 0.000
Zn 0.500 0.500 0.000
Pd 0.000 0.500 0.500
Pd 0.368 0.868 0.500
Pd 0.632 0.132 0.500

## Properties
Formation energy from the elements in eV/atom: -0.6272
ΔE to the lowest computed polymorph in meV/atom: 210
E in eV/atom: -4.96


Record 8
Computed, not measured: crystalline CsTl2TeO4 at its relaxed geometry at the GGA-PBE level of DFT.

Unit cell a=7.375 b=7.375 c=7.493 alpha=117.57 beta=117.57 gamma=85.88
Fractional positions:
Cs 0.000 0.000 0.000
Cs 0.000 0.000 0.500
Tl 0.000 0.500 0.000
Tl 0.500 0.000 0.500
Tl 0.500 0.500 0.000
Tl 0.500 0.500 0.500
Te 0.000 0.500 0.500
Te 0.500 0.000 0.000
O 0.208 0.653 0.460
O 0.275 0.349 0.611
O 0.347 0.792 0.040
O 0.349 0.275 0.111
O 0.651 0.725 0.889
O 0.653 0.208 0.960
O 0.725 0.651 0.389
O 0.792 0.347 0.540

## Properties
E in eV/atom: -4.25